1.
Density functional theory data (PBE) for a relaxed structure of Dy2Cd3Pd4.

abc: 4.728 4.792 9.003
angles: 88.77 90.00 119.56
Sites, in units of the cell vectors:
Dy1 0.331 0.663 0.215
Pd1 0.334 0.669 0.894
Pd2 0.996 0.991 0.341
Pd3 0.004 0.009 0.659
Pd4 0.666 0.331 0.106
Dy2 0.669 0.337 0.785
Cd1 0.663 0.326 0.425
Cd2 0.337 0.674 0.575
Cd3 0.000 0.000 0.000

Output
Total magnetic moment in μB per atom: 0.000
E_tot in eV/atom: -4.2659

***

2.
Density functional theory data (PBE) for a relaxed structure of Pr2SmN3.

abc: 3.673 3.671 8.150
angles: 103.08 103.08 89.74
Sites, in units of the cell vectors:
Pr1 0.772 0.788 0.544
N1 0.931 0.911 0.874
Sm1 0.437 0.456 0.874
N2 0.595 0.585 0.201
N3 0.268 0.257 0.547
Pr2 0.102 0.118 0.204

Output
Total magnetic moment in μB per atom: 0.000
Uncorrected formation energy in eV/atom: -1.3477

***

3.
Density functional theory data (PBE) for a relaxed structure of Ag2AsPt.

abc: 3.243 3.264 6.760
angles: 90.00 90.00 90.00
Sites, in units of the cell vectors:
As1 0.000 0.000 0.543
Ag1 0.500 0.500 0.248
Ag2 0.000 0.000 0.991
Pt1 0.500 0.500 0.718

Output
Total magnetic moment in μB per atom: 0.000
E_tot in eV/atom: -4.1211

***

4.
Density functional theory data (PBE) for a relaxed structure of AcSb3Au.

abc: 6.657 6.567 13.365
angles: 90.00 90.00 90.00
Sites, in units of the cell vectors:
Au1 0.000 0.250 0.109
Ac1 0.250 0.996 0.691
Sb1 0.750 0.833 0.055
Au2 0.000 0.750 0.891
Ac2 0.250 0.496 0.309
Sb2 0.250 0.491 0.773
Au3 0.500 0.750 0.891
Ac3 0.750 0.504 0.691
Sb3 0.750 0.333 0.945
Sb4 0.000 0.750 0.501
Sb5 0.500 0.750 0.501
Au4 0.500 0.250 0.109
Sb6 0.250 0.667 0.055
Sb7 0.750 0.009 0.773
Sb8 0.250 0.167 0.945
Sb9 0.750 0.509 0.227
Sb10 0.500 0.250 0.499
Ac4 0.750 0.004 0.309
Sb11 0.250 0.991 0.227
Sb12 0.000 0.250 0.499

Output
Total magnetic moment in μB per atom: 0.000
Uncorrected formation energy in eV/atom: -0.4820

***

5.
Density functional theory data (PBE) for a relaxed structure of Ba12Hg3Au5.

abc: 17.244 17.244 17.244
angles: 109.47 109.47 109.47
Sites, in units of the cell vectors:
Ba1 0.916 0.825 0.541
Hg1 0.125 0.875 0.750
Ba2 0.825 0.916 0.041
Au1 0.500 0.000 0.000
Ba3 0.416 0.041 0.325
Ba4 0.216 0.541 0.625
Hg2 0.750 0.375 0.125
Ba5 0.584 0.959 0.675
Ba6 0.909 0.825 0.784
Ba7 0.909 0.084 0.625
Au2 0.000 0.500 0.000
Au3 0.250 0.875 0.125
Au4 0.000 0.000 0.000
Ba8 0.284 0.409 0.825
Hg3 0.625 0.375 0.750
Ba9 0.409 0.125 0.584
Ba10 0.175 0.084 0.959
Ba11 0.125 0.409 0.084
Ba12 0.216 0.675 0.091
Au5 0.000 0.500 0.500
Au6 0.375 0.125 0.750
Au7 0.750 0.625 0.375
Ba13 0.416 0.375 0.591
Ba14 0.459 0.784 0.875
Au8 0.750 0.125 0.875
Hg4 0.750 0.875 0.625
Hg5 0.125 0.250 0.875
Au9 0.500 0.500 0.500
Hg6 0.625 0.250 0.375
Au10 0.250 0.375 0.625
Ba15 0.591 0.716 0.675
Ba16 0.284 0.875 0.959
Ba17 0.675 0.216 0.591
Ba18 0.325 0.784 0.409
Au11 0.500 0.500 0.000
Ba19 0.959 0.375 0.284
Ba20 0.041 0.416 0.825
Ba21 0.591 0.875 0.416
Ba22 0.959 0.584 0.175
Hg7 0.875 0.750 0.125
Au12 0.875 0.250 0.625
Ba23 0.875 0.284 0.459
Ba24 0.459 0.675 0.084
Hg8 0.250 0.125 0.375
Au13 0.625 0.750 0.875
Ba25 0.175 0.091 0.716
Ba26 0.716 0.125 0.041
Ba27 0.084 0.175 0.459
Ba28 0.716 0.591 0.175
Ba29 0.409 0.284 0.325
Ba30 0.091 0.175 0.216
Ba31 0.625 0.041 0.216
Ba32 0.784 0.459 0.375
Ba33 0.784 0.325 0.909
Ba34 0.916 0.091 0.875
Ba35 0.084 0.909 0.125
Au14 0.125 0.750 0.375
Ba36 0.541 0.325 0.916
Ba37 0.041 0.625 0.716
Au15 0.125 0.375 0.250
Ba38 0.584 0.625 0.409
Ba39 0.625 0.584 0.909
Au16 0.500 0.000 0.500
Hg9 0.875 0.125 0.250
Ba40 0.325 0.541 0.416
Ba41 0.375 0.416 0.091
Ba42 0.375 0.959 0.784
Hg10 0.375 0.750 0.625
Hg11 0.375 0.625 0.250
Ba43 0.541 0.216 0.125
Au17 0.625 0.875 0.250
Ba44 0.875 0.591 0.916
Ba45 0.091 0.916 0.375
Ba46 0.675 0.459 0.584
Ba47 0.825 0.909 0.284
Hg12 0.250 0.625 0.875
Au18 0.000 0.000 0.500
Au19 0.875 0.625 0.750
Ba48 0.125 0.716 0.541
Au20 0.375 0.250 0.125

Output
Total magnetic moment in μB per atom: 0.000
E_tot in eV/atom: -2.3929

***

6.
Density functional theory data (PBE) for a relaxed structure of BaSrSn2O6.

abc: 4.150 4.150 8.297
angles: 90.00 90.00 90.00
Sites, in units of the cell vectors:
O1 0.000 0.500 0.743
O2 0.000 0.000 0.000
O3 0.000 0.500 0.257
Sn1 0.000 0.000 0.253
O4 0.500 0.000 0.257
Sr1 0.500 0.500 0.500
Sn2 0.000 0.000 0.747
Ba1 0.500 0.500 0.000
O5 0.000 0.000 0.500
O6 0.500 0.000 0.743

Output
Total magnetic moment in μB per atom: 0.000
Uncorrected formation energy in eV/atom: -2.1706

***

7.
Density functional theory data (PBE) for a relaxed structure of HfBeSb2Te.

abc: 4.827 4.827 5.097
angles: 90.00 90.00 90.00
Sites, in units of the cell vectors:
Sb1 0.000 0.500 0.000
Sb2 0.500 0.000 0.000
Hf1 0.500 0.500 0.500
Te1 0.000 0.000 0.500
Be1 0.000 0.000 0.000

Output
Total magnetic moment in μB per atom: 0.000
Uncorrected formation energy in eV/atom: 0.5304

***

8.
Density functional theory data (PBE) for a relaxed structure of TbInIr2.

abc: 3.430 3.430 6.397
angles: 90.00 90.00 90.00
Sites, in units of the cell vectors:
Ir1 0.000 0.000 0.766
Tb1 0.500 0.500 0.500
In1 0.500 0.500 0.000
Ir2 0.000 0.000 0.234

Output
Total magnetic moment in μB per atom: 0.000
E_tot in eV/atom: -6.6908

***

9.
Density functional theory data (PBE) for a relaxed structure of CdCu2Ni2.

abc: 6.970 6.970 2.743
angles: 90.00 90.00 90.00
Sites, in units of the cell vectors:
Cu1 0.126 0.374 0.000
Cd1 0.500 0.500 0.000
Ni1 0.168 0.668 0.500
Ni2 0.332 0.168 0.500
Cu2 0.874 0.626 0.000
Cu3 0.626 0.126 0.000
Ni3 0.668 0.832 0.500
Cu4 0.374 0.874 0.000
Cd2 0.000 0.000 0.000
Ni4 0.832 0.332 0.500

Output
Total magnetic moment in μB per atom: 0.000
E_tot in eV/atom: -4.0069

***

10.
Density functional theory data (PBE) for a relaxed structure of Na2TiTlF8.

abc: 5.049 5.069 7.301
angles: 90.00 90.00 91.53
Sites, in units of the cell vectors:
F1 0.684 0.684 0.500
F2 0.182 0.819 0.811
Na1 0.500 0.500 0.238
Ti1 0.000 0.000 0.000
F3 0.733 0.732 0.000
F4 0.818 0.181 0.189
Tl1 0.000 0.000 0.500
F5 0.182 0.819 0.189
F6 0.818 0.181 0.811
F7 0.267 0.268 0.000
F8 0.316 0.316 0.500
Na2 0.500 0.500 0.762

Output
Total magnetic moment in μB per atom: 0.000
Uncorrected formation energy in eV/atom: -2.7898

***

11.
Density functional theory data (PBE) for a relaxed structure of Pa2CoOs.

abc: 3.947 5.802 7.407
angles: 109.05 90.00 90.00
Sites, in units of the cell vectors:
Co1 0.750 0.707 0.302
Pa1 0.250 0.774 0.074
Os1 0.750 0.686 0.795
Pa2 0.250 0.774 0.561
Os2 0.250 0.314 0.205
Co2 0.250 0.293 0.698
Pa3 0.750 0.226 0.926
Pa4 0.750 0.226 0.439

Output
Total magnetic moment in μB per atom: 0.000
E_tot in eV/atom: -9.7531

***

12.
Density functional theory data (PBE) for a relaxed structure of LiIn3.

abc: 4.570 4.587 4.576
angles: 90.00 90.00 90.00
Sites, in units of the cell vectors:
In1 0.500 0.500 0.083
In2 0.000 0.500 0.583
In3 0.000 0.000 0.083
Li1 0.500 0.000 0.583

Output
Total magnetic moment in μB per atom: 0.000
E_tot in eV/atom: -2.6509